Crystalline HfPt4 at its relaxed geometry. Source: Alexandria, functional PBEsol. Values from VASP.

Results
Its calculated density is 20.4 g cm⁻³. The total DFT energy (no corrections) comes out at -171.32 eV/cell.

The structure in Quantum ESPRESSO input format:
```
&SYSTEM
  ibrav = 0, nat = 20, ntyp = 2
/
ATOMIC_SPECIES
Hf 178.49 Hf.upf
Pt 195.08 Pt.upf
ATOMIC_POSITIONS angstrom
Hf 0.0000 0.0000 2.0080
Hf 0.0000 0.0000 6.0477
Hf 0.0000 0.0000 13.8545
Hf 0.0000 0.0000 17.8942
Pt 0.0000 0.0000 9.9511
Pt 0.0000 1.9792 0.0000
Pt 0.0000 1.9792 3.9821
Pt 0.0000 1.9792 7.9458
Pt 0.0000 1.9792 11.9564
Pt 0.0000 1.9792 15.9201
Pt 1.9792 0.0000 0.0000
Pt 1.9792 0.0000 3.9821
Pt 1.9792 0.0000 7.9458
Pt 1.9792 0.0000 11.9564
Pt 1.9792 0.0000 15.9201
Pt 1.9792 1.9792 1.9903
Pt 1.9792 1.9792 5.9685
Pt 1.9792 1.9792 9.9511
Pt 1.9792 1.9792 13.9338
Pt 1.9792 1.9792 17.9119
CELL_PARAMETERS angstrom
3.9585 0.0000 0.0000
0.0000 3.9585 0.0000
0.0000 0.0000 19.9022
```

Crystalline HfPt3 at its relaxed geometry. Source: Alexandria, functional PBEsol. Values from VASP.

Results
Its calculated density is 20.1 g cm⁻³. The total DFT energy (no corrections) comes out at -71.48 eV/cell.

The structure in Quantum ESPRESSO input format:
```
&SYSTEM
  ibrav = 0, nat = 8, ntyp = 2
/
ATOMIC_SPECIES
Hf 178.49 Hf.upf
Pt 195.08 Pt.upf
ATOMIC_POSITIONS angstrom
Hf 0.0000 3.2487 1.1482
Hf 2.8134 1.6243 3.4447
Pt 0.0000 1.6033 3.4447
Pt -1.4250 4.0714 3.4447
Pt 1.3885 0.8016 1.1482
Pt 1.4250 4.0714 3.4447
Pt 4.2384 0.8016 1.1482
Pt 2.8134 3.2697 1.1482
CELL_PARAMETERS angstrom
5.6269 0.0000 0.0000
-2.8134 4.8730 0.0000
0.0000 0.0000 4.5929
```

Crystalline RbHfPt3 at its relaxed geometry. Source: Alexandria, functional PBEsol. Values from VASP.

Results
Its calculated density is 12.3 g cm⁻³. The total DFT energy (no corrections) comes out at -21.86 eV/cell.

The structure in Quantum ESPRESSO input format:
```
&SYSTEM
  ibrav = 0, nat = 5, ntyp = 3
/
ATOMIC_SPECIES
Rb 85.47 Rb.upf
Hf 178.49 Hf.upf
Pt 195.08 Pt.upf
ATOMIC_POSITIONS angstrom
Rb 0.0000 0.0000 0.0000
Hf 2.4309 2.4309 2.4309
Pt 0.0000 0.0000 2.4309
Pt 0.0000 2.4309 0.0000
Pt 2.4309 0.0000 0.0000
CELL_PARAMETERS angstrom
4.8619 0.0000 0.0000
0.0000 4.8619 0.0000
0.0000 0.0000 4.8619
```

Crystalline HfRePt3 at its relaxed geometry. Source: Alexandria, functional PBEsol. Values from VASP.

Results
Its calculated density is 14.9 g cm⁻³. The total DFT energy (no corrections) comes out at -39.52 eV/cell.

The structure in Quantum ESPRESSO input format:
```
&SYSTEM
  ibrav = 0, nat = 5, ntyp = 3
/
ATOMIC_SPECIES
Hf 178.49 Hf.upf
Re 186.21 Re.upf
Pt 195.08 Pt.upf
ATOMIC_POSITIONS angstrom
Hf 0.0000 0.0000 0.0000
Re 2.3646 2.3646 2.3646
Pt 0.0000 2.3646 2.3646
Pt 2.3646 0.0000 2.3646
Pt 2.3646 2.3646 0.0000
CELL_PARAMETERS angstrom
4.7291 0.0000 0.0000
0.0000 4.7291 0.0000
0.0000 0.0000 4.7291
```